{
  "formula": "HIF3",
  "functional": "PBEsol",
  "state": "optimized geometry",
  "lattice": [[-2.7220, 2.0797, -1.5022], [0.7540, -1.4448, -3.3667], [-2.4522, -2.7528, 0.6322]],
  "species": ["I", "F", "F", "F", "H"],
  "frac_coords": [[0.5000, 0.5000, 0.5000], [0.0000, 0.5000, 0.0000], [0.5000, 0.0000, 0.0000], [0.0000, 0.0000, 0.5000], [0.0000, 0.0000, 0.0000]],
  "e_tot_ev_per_atom": -2.565,
  "rho_g_cm3": 5.87,
  "sg": "Pm-3m"
}

{
  "formula": "KHI2F12",
  "functional": "PBEsol",
  "state": "optimized geometry",
  "lattice": [[-5.0411, 1.2151, -6.9800], [8.0154, -2.4145, -2.3522], [-3.1538, -6.3541, 5.0287]],
  "species": ["F", "F", "F", "F", "F", "F", "F", "F", "F", "F", "F", "F", "F", "F", "F", "F", "F", "F", "F", "F", "F", "F", "F", "F", "K", "K", "I", "I", "I", "I", "H", "H"],
  "frac_coords": [[0.1447, 0.2920, 0.5963], [0.5000, 0.6388, 0.1388], [0.5000, 0.1388, 0.6388], [0.1447, 0.0963, 0.7920], [0.8553, 0.4516, 0.1473], [0.1447, 0.3527, 0.0484], [0.6958, 0.1473, 0.2921], [0.9229, 0.2115, 0.7115], [0.8553, 0.7080, 0.4037], [0.5000, 0.2885, 0.2115], [0.6958, 0.0484, 0.9037], [0.8553, 0.6473, 0.9516], [0.5000, 0.7115, 0.7885], [0.3042, 0.2080, 0.3527], [0.3042, 0.5963, 0.4516], [0.8553, 0.9037, 0.2080], [0.5000, 0.8612, 0.3612], [0.5000, 0.3612, 0.8612], [0.0771, 0.7885, 0.2885], [0.1447, 0.5484, 0.8527], [0.3042, 0.8527, 0.7080], [0.3042, 0.9516, 0.0963], [0.6958, 0.7921, 0.6473], [0.6958, 0.4037, 0.5484], [0.0000, 0.7500, 0.7500], [0.0000, 0.2500, 0.2500], [0.5000, 0.8454, 0.6546], [0.8093, 0.6546, 0.1546], [0.5000, 0.1546, 0.3454], [0.1907, 0.3454, 0.8454], [0.5000, 0.7500, 0.2500], [0.5000, 0.2500, 0.7500]],
  "e_tot_ev_per_atom": -3.802,
  "rho_g_cm3": 3.43,
  "sg": "I4/mcm"
}

Please write out number 1 again, unchanged.
{
  "formula": "HIF3",
  "functional": "PBEsol",
  "state": "optimized geometry",
  "lattice": [[-2.7220, 2.0797, -1.5022], [0.7540, -1.4448, -3.3667], [-2.4522, -2.7528, 0.6322]],
  "species": ["I", "F", "F", "F", "H"],
  "frac_coords": [[0.5000, 0.5000, 0.5000], [0.0000, 0.5000, 0.0000], [0.5000, 0.0000, 0.0000], [0.0000, 0.0000, 0.5000], [0.0000, 0.0000, 0.0000]],
  "e_tot_ev_per_atom": -2.565,
  "rho_g_cm3": 5.87,
  "sg": "Pm-3m"
}

What did the second record say?
{
  "formula": "KHI2F12",
  "functional": "PBEsol",
  "state": "optimized geometry",
  "lattice": [[-5.0411, 1.2151, -6.9800], [8.0154, -2.4145, -2.3522], [-3.1538, -6.3541, 5.0287]],
  "species": ["F", "F", "F", "F", "F", "F", "F", "F", "F", "F", "F", "F", "F", "F", "F", "F", "F", "F", "F", "F", "F", "F", "F", "F", "K", "K", "I", "I", "I", "I", "H", "H"],
  "frac_coords": [[0.1447, 0.2920, 0.5963], [0.5000, 0.6388, 0.1388], [0.5000, 0.1388, 0.6388], [0.1447, 0.0963, 0.7920], [0.8553, 0.4516, 0.1473], [0.1447, 0.3527, 0.0484], [0.6958, 0.1473, 0.2921], [0.9229, 0.2115, 0.7115], [0.8553, 0.7080, 0.4037], [0.5000, 0.2885, 0.2115], [0.6958, 0.0484, 0.9037], [0.8553, 0.6473, 0.9516], [0.5000, 0.7115, 0.7885], [0.3042, 0.2080, 0.3527], [0.3042, 0.5963, 0.4516], [0.8553, 0.9037, 0.2080], [0.5000, 0.8612, 0.3612], [0.5000, 0.3612, 0.8612], [0.0771, 0.7885, 0.2885], [0.1447, 0.5484, 0.8527], [0.3042, 0.8527, 0.7080], [0.3042, 0.9516, 0.0963], [0.6958, 0.7921, 0.6473], [0.6958, 0.4037, 0.5484], [0.0000, 0.7500, 0.7500], [0.0000, 0.2500, 0.2500], [0.5000, 0.8454, 0.6546], [0.8093, 0.6546, 0.1546], [0.5000, 0.1546, 0.3454], [0.1907, 0.3454, 0.8454], [0.5000, 0.7500, 0.2500], [0.5000, 0.2500, 0.7500]],
  "e_tot_ev_per_atom": -3.802,
  "rho_g_cm3": 3.43,
  "sg": "I4/mcm"
}